This record from Alexandria describes a crystal of AlIr2Br relaxed with PBEsol. The functional is SCAN.

Computed properties:
Spin magnetization (Bohr magnetons per cell): 0.0
Offset from the most stable computed form (meV/atom): 23

Lattice parameters (Å, degrees): 2.9568 2.9568 7.0548 90.00 90.00 90.00
With the nearest neighbours (Å) after each atom.
Atoms (fractional coordinates):
1 Ir 0.0000 0.0000 0.7927  4 Al 2.55
2 Ir 0.0000 0.0000 0.2073  4 Al 2.55
3 Al 0.5000 0.5000 0.0000  8 Ir 2.55
4 Br 0.5000 0.5000 0.5000  8 Ir 2.94, 4 Br 2.96